Here is a geometry-optimized Ac2MnAg3O6 structure from the Alexandria database. Energies are from PBE+U.

abc: 6.3958 6.3958 6.5024
angles: 98.10 98.10 119.27
Closest atoms and distances in Å follow each position.
Fractional positions:
Ac 0.1673 0.8327 0.0000  6 O 2.44-2.57
Ac 0.8327 0.1673 0.0000  6 O 2.44-2.57
Mn 0.5000 0.5000 0.0000  4 O 2.03
Ag 0.0000 0.0000 0.5000  2 O 2.04
Ag 0.3683 0.6317 0.5000  2 O 2.10
Ag 0.6317 0.3683 0.5000  2 O 2.10
O 0.1289 0.1289 0.8248  1 Ag 2.04
O 0.2698 0.5429 0.1642  1 Mn 2.03, 1 Ag 2.10
O 0.4571 0.7302 0.8358  1 Mn 2.03, 1 Ag 2.10
O 0.5429 0.2698 0.1642  1 Mn 2.03, 1 Ag 2.10
O 0.7302 0.4571 0.8358  1 Mn 2.03, 1 Ag 2.10
O 0.8711 0.8711 0.1752  1 Ag 2.04

Values from the calculation:
For the energy, the calculation gives -6.204 eV per atom. The space group is C2/m, No. 12. The size of the total moment is 4.00 μB/f.u.